Below is a geometry-optimized K2LaCo structure, with properties calculated at the PBE level.

ΔE_f ... 0.95 eV per atom
Uncorrected energy ... -2.61 eV per atom

Cell lengths 3.5317, 3.5317, 12.7373 Å; angles 90.00, 90.00, 111.71 degrees
Closest atoms and distances in Å follow each position.
Sites, in units of the cell vectors:
K 0.0000 0.0000 0.2035  2 Co 3.26, 4 K 3.53
K 0.0000 0.0000 0.7965  2 Co 3.26, 4 K 3.53
La 0.5000 0.5000 0.5000  4 La 3.53
Co 0.5000 0.5000 0.0000  4 K 3.26, 4 Co 3.53